# LaTcHg, optimized geometry, DFT GGA-PBE
# Formation enthalpy at 0 K ... 0.970 eV per atom
# Calculated total energy ... -4.23 eV/atom
# Space group ... F-43m
# Size of the total moment ... 0.69 μB per atom
data_LaTcHg
_chemical_formula_sum 'La1 Tc1 Hg1'
_symmetry_space_group_name_H-M 'P 1'
_symmetry_Int_Tables_number 1
_symmetry_space_group_name_Hall 'P 1'
_cell_length_a 4.9878
_cell_length_b 4.9878
_cell_length_c 4.9878
_cell_angle_alpha 60.00
_cell_angle_beta 60.00
_cell_angle_gamma 60.00
loop_
_atom_site_label
_atom_site_type_symbol
_atom_site_fract_x
_atom_site_fract_y
_atom_site_fract_z
La1 La 0.0000 0.0000 0.0000
Tc1 Tc 0.2500 0.2500 0.2500
Hg1 Hg 0.7500 0.7500 0.7500